# 1
A geometry-optimized SrTb2Tl structure. Source: Alexandria via LeMat-Bulk, functional PBE-GGA.

As for the crystal system: tetragonal. The energy above the lowest structure with this stoichiometry comes out at 2 meV per atom.

The structure belongs to space group P4/mmm (No. 123); the cell edges are 3.734, 3.734 and 9.929 Å and the angles 90.00°, 90.00° and 90.00°. The asymmetric unit holds Sr at (0.000, 0.000, 0.000), Tb at (0.500, 0.500, 0.303) and Tl at (0.000, 0.000, 0.500).


# 2
A geometry-optimized Sr5TbTl6 structure. Source: Alexandria via LeMat-Bulk, functional PBE-GGA.

As for the crystal system: orthorhombic.

The structure belongs to space group Cmmm (No. 65); the cell edges are 5.730, 17.242 and 8.057 Å and the angles 90.00°, 90.00° and 90.00°. The asymmetric unit holds Sr at (0.000, 0.000, 0.000), Sr at (0.000, 0.330, 0.000), Sr at (0.000, 0.330, 0.500), Tb at (0.000, 0.000, 0.500), Tl at (0.000, 0.159, 0.264) and Tl at (0.000, 0.500, 0.268).


# 3
A geometry-optimized SrTb4Tl4 structure. Source: Alexandria via LeMat-Bulk, functional PBE-GGA.

As for the crystal system: tetragonal.

The structure belongs to space group P4_2/n (No. 86, origin choice 2); the cell edges are 10.117, 10.117 and 6.216 Å and the angles 90.00°, 90.00° and 90.00°. The asymmetric unit holds Sr at (0.250, 0.250, 0.250), Tb at (0.096, 0.646, 0.146) and Tl at (0.044, 0.605, 0.653).


# 4
A geometry-optimized SrTb2Tl structure. Source: Alexandria via LeMat-Bulk, functional PBE-GGA.

As for the crystal system: tetragonal. The energy above the lowest structure with this stoichiometry comes out at 0 meV per atom.

The structure belongs to space group P4/mmm (No. 123); the cell edges are 5.029, 5.029 and 5.020 Å and the angles 90.00°, 90.00° and 90.00°. The asymmetric unit holds Sr at (0.000, 0.000, 0.000), Tb at (0.000, 0.500, 0.500) and Tl at (0.500, 0.500, 0.000).


# 5
A geometry-optimized Sr2TbTl structure. Source: Alexandria via LeMat-Bulk, functional PBE-GGA.

As for the crystal system: trigonal.

The structure belongs to space group R-3m (No. 166, hexagonal axes); the cell edges are 3.8517, 3.8517 and 37.3275 Å and the angles 90.00°, 90.00° and 120.00°. The asymmetric unit holds Sr at (0.0000, 0.0000, 0.0965), Tb at (0.0000, 0.0000, 0.0000) and Tl at (0.0000, 0.0000, 0.5000).


# 6
A geometry-optimized Sr3TbTl12 structure. Source: Alexandria via LeMat-Bulk, functional PBE-GGA.

As for the crystal system: tetragonal.

The structure belongs to space group P4/mmm (No. 123); the cell edges are 4.963, 4.963 and 19.551 Å and the angles 90.00°, 90.00° and 90.00°. The asymmetric unit holds Sr at (0.000, 0.000, 0.000), Sr at (0.000, 0.000, 0.257), Tb at (0.000, 0.000, 0.500), Tl at (0.000, 0.500, 0.128), Tl at (0.000, 0.500, 0.383), Tl at (0.500, 0.500, 0.000), Tl at (0.500, 0.500, 0.252) and Tl at (0.500, 0.500, 0.500).


# 7
A geometry-optimized SrTbTl6 structure. Source: Alexandria via LeMat-Bulk, functional PBE-GGA.

As for the crystal system: tetragonal.

The structure belongs to space group P4/mmm (No. 123); the cell edges are 4.868, 4.868 and 9.790 Å and the angles 90.00°, 90.00° and 90.00°. The asymmetric unit holds Sr at (0.000, 0.000, 0.000), Tb at (0.000, 0.000, 0.500), Tl at (0.000, 0.500, 0.259), Tl at (0.500, 0.500, 0.000) and Tl at (0.500, 0.500, 0.500).


# 8
A geometry-optimized SrTb2Tl structure. Source: Alexandria via LeMat-Bulk, functional PBE-GGA.

As for the crystal system: trigonal. The energy above the lowest structure with this stoichiometry comes out at 171 meV per atom.

The structure belongs to space group R-3m (No. 166, hexagonal axes); the cell edges are 3.7145, 3.7145 and 36.0353 Å and the angles 90.00°, 90.00° and 120.00°. The asymmetric unit holds Sr at (0.0000, 0.0000, 0.0000), Tb at (0.0000, 0.0000, 0.0997) and Tl at (0.0000, 0.0000, 0.5000).


no.,energy relative to the elements (eV per atom),calculated density (Mg/m³)
1,-0.05,7.32
2,-0.41,7.61
3,-0.14,8.04
4,-0.05,7.98
5,0.15,5.59
6,-0.25,9.91
7,-0.25,10.54
8,0.12,7.06